Record 1
! PBEsol La2TlBr, relaxed; values from VASP
! * spin magnetization: 0.00 μB/f.u.
! * density of states at the Fermi level: 0.7451 states/eV/atom
! * E_form (uncorrected): -84 kJ per mole of atoms
! * raw total energy: -18.7 eV for the cell shown
! * relative energy among the computed polymorphs: 39.2 meV/atom
&SYSTEM
  ibrav = 0, nat = 4, ntyp = 3
/
ATOMIC_SPECIES
Br 79.90 Br.upf
Tl 204.38 Tl.upf
La 138.91 La.upf
CELL_PARAMETERS angstrom
-0.658 -0.711 4.465
3.370 -2.184 -2.189
2.221 6.796 1.410
ATOMIC_POSITIONS crystal
Br 0.500 0.000 0.000
Tl 0.000 0.000 0.500
La 0.753 0.506 0.759
La 0.247 0.494 0.241

***

Record 2
! PBEsol LaTl3Br, relaxed; values from VASP
! * spin magnetization: 0.17 μB/f.u.
! * density of states at the Fermi level: 1.0104 states/eV/atom
! * E_form (uncorrected): 14 kJ per mole of atoms
! * raw total energy: -14.4 eV for the cell shown
&SYSTEM
  ibrav = 0, nat = 5, ntyp = 3
/
ATOMIC_SPECIES
Tl 204.38 Tl.upf
La 138.91 La.upf
Br 79.90 Br.upf
CELL_PARAMETERS angstrom
5.635 0.000 0.000
0.000 5.635 0.000
0.000 0.000 5.635
ATOMIC_POSITIONS crystal
Tl 0.000 0.000 0.500
Tl 0.000 0.500 0.000
Tl 0.500 0.000 0.000
La 0.500 0.500 0.500
Br 0.000 0.000 0.000

***

Record 3
! PBEsol La2TlBr, relaxed; values from VASP
! * spin magnetization: 0.00 μB/f.u.
! * density of states at the Fermi level: 0.8703 states/eV/atom
! * E_form (uncorrected): -75 kJ per mole of atoms
! * raw total energy: -18.3 eV for the cell shown
! * relative energy among the computed polymorphs: 134.3 meV/atom
&SYSTEM
  ibrav = 0, nat = 4, ntyp = 3
/
ATOMIC_SPECIES
La 138.91 La.upf
Br 79.90 Br.upf
Tl 204.38 Tl.upf
CELL_PARAMETERS angstrom
-3.528 -2.744 -2.424
-0.692 -5.216 1.579
-4.635 -1.151 2.716
ATOMIC_POSITIONS crystal
La 0.739 0.261 0.261
La 0.261 0.739 0.739
Br 0.000 0.500 0.500
Tl 0.500 0.000 0.000

***

Record 4
! PBEsol La2TlBr, relaxed; values from VASP
! * spin magnetization: 0.00 μB/f.u.
! * density of states at the Fermi level: 0.6465 states/eV/atom
! * E_form (uncorrected): -87 kJ per mole of atoms
! * raw total energy: -18.8 eV for the cell shown
! * relative energy among the computed polymorphs: 0.0 meV/atom
&SYSTEM
  ibrav = 0, nat = 4, ntyp = 3
/
ATOMIC_SPECIES
Tl 204.38 Tl.upf
La 138.91 La.upf
Br 79.90 Br.upf
CELL_PARAMETERS angstrom
4.432 0.000 0.000
0.000 4.432 0.000
0.000 0.000 6.271
ATOMIC_POSITIONS crystal
Tl 0.000 0.000 0.000
La 0.500 0.500 0.000
La 0.000 0.000 0.500
Br 0.500 0.500 0.500

***

Record 5
! PBEsol LaTlBr2, relaxed; values from VASP
! * spin magnetization: 0.00 μB/f.u.
! * density of states at the Fermi level: 0.4968 states/eV/atom
! * E_form (uncorrected): -114 kJ per mole of atoms
! * raw total energy: -16.5 eV for the cell shown
! * relative energy among the computed polymorphs: 0.0 meV/atom
&SYSTEM
  ibrav = 0, nat = 4, ntyp = 3
/
ATOMIC_SPECIES
Br 79.90 Br.upf
Tl 204.38 Tl.upf
La 138.91 La.upf
CELL_PARAMETERS angstrom
3.612 0.000 0.000
0.000 3.612 0.000
0.000 0.000 9.254
ATOMIC_POSITIONS crystal
Br 0.000 0.000 0.812
Br 0.000 0.000 0.188
Tl 0.500 0.500 0.500
La 0.500 0.500 0.000

***

Record 6
! PBEsol LaTl2Br, relaxed; values from VASP
! * spin magnetization: 0.00 μB/f.u.
! * density of states at the Fermi level: 0.8619 states/eV/atom
! * E_form (uncorrected): -50 kJ per mole of atoms
! * raw total energy: -14.6 eV for the cell shown
! * relative energy among the computed polymorphs: 107.9 meV/atom
&SYSTEM
  ibrav = 0, nat = 4, ntyp = 3
/
ATOMIC_SPECIES
Br 79.90 Br.upf
Tl 204.38 Tl.upf
La 138.91 La.upf
CELL_PARAMETERS angstrom
-2.528 -1.601 1.916
4.092 -3.513 2.464
-1.059 5.087 2.856
ATOMIC_POSITIONS crystal
Br 0.500 0.000 0.000
Tl 0.000 0.500 0.000
Tl 0.000 0.000 0.500
La 0.500 0.500 0.500

***

Record 7
! PBEsol La2TlBr, relaxed; values from VASP
! * spin magnetization: 0.00 μB/f.u.
! * density of states at the Fermi level: 0.5663 states/eV/atom
! * E_form (uncorrected): -87 kJ per mole of atoms
! * raw total energy: -18.8 eV for the cell shown
! * relative energy among the computed polymorphs: 0.9 meV/atom
&SYSTEM
  ibrav = 0, nat = 4, ntyp = 3
/
ATOMIC_SPECIES
Tl 204.38 Tl.upf
Br 79.90 Br.upf
La 138.91 La.upf
CELL_PARAMETERS angstrom
4.003 0.000 0.000
0.000 4.878 0.000
0.000 0.000 6.278
ATOMIC_POSITIONS crystal
Tl 0.376 0.000 0.500
Br 0.874 0.500 0.000
La 0.876 0.500 0.500
La 0.374 0.000 0.000

***

Record 8
! PBEsol LaTlBr2, relaxed; values from VASP
! * spin magnetization: 0.00 μB/f.u.
! * density of states at the Fermi level: 0.3889 states/eV/atom
! * E_form (uncorrected): -101 kJ per mole of atoms
! * raw total energy: -15.9 eV for the cell shown
! * relative energy among the computed polymorphs: 140.2 meV/atom
&SYSTEM
  ibrav = 0, nat = 4, ntyp = 3
/
ATOMIC_SPECIES
Br 79.90 Br.upf
La 138.91 La.upf
Tl 204.38 Tl.upf
CELL_PARAMETERS angstrom
-3.828 -0.759 -1.927
2.044 -2.036 -3.259
0.450 -3.600 5.438
ATOMIC_POSITIONS crystal
Br 0.750 0.250 0.500
Br 0.000 0.000 0.000
La 0.500 0.500 0.000
Tl 0.250 0.750 0.500

***

Record 9
! PBEsol LaTlBr, relaxed; values from VASP
! * spin magnetization: 0.00 μB/f.u.
! * density of states at the Fermi level: 0.7765 states/eV/atom
! * E_form (uncorrected): -73 kJ per mole of atoms
! * raw total energy: -12.1 eV for the cell shown
! * relative energy among the computed polymorphs: 0.0 meV/atom
&SYSTEM
  ibrav = 0, nat = 3, ntyp = 3
/
ATOMIC_SPECIES
La 138.91 La.upf
Tl 204.38 Tl.upf
Br 79.90 Br.upf
CELL_PARAMETERS angstrom
-1.974 2.129 -2.411
0.937 -3.534 -0.934
-6.449 -2.518 3.056
ATOMIC_POSITIONS crystal
La 0.333 0.667 0.684
Tl 0.667 0.333 0.353
Br 0.000 0.000 0.963

***

Record 10
! PBEsol LaTl2Br, relaxed; values from VASP
! * spin magnetization: 0.00 μB/f.u.
! * density of states at the Fermi level: 0.8381 states/eV/atom
! * E_form (uncorrected): -60 kJ per mole of atoms
! * raw total energy: -15.0 eV for the cell shown
! * relative energy among the computed polymorphs: 0.0 meV/atom
&SYSTEM
  ibrav = 0, nat = 4, ntyp = 3
/
ATOMIC_SPECIES
Tl 204.38 Tl.upf
Br 79.90 Br.upf
La 138.91 La.upf
CELL_PARAMETERS angstrom
-1.684 -3.506 -1.919
0.424 -2.227 3.697
-4.666 4.529 0.719
ATOMIC_POSITIONS crystal
Tl 0.750 0.250 0.500
Tl 0.250 0.750 0.500
Br 0.500 0.500 0.000
La 0.000 0.000 0.000

***

Record 11
! PBEsol LaTlBr2, relaxed; values from VASP
! * spin magnetization: 0.00 μB/f.u.
! * density of states at the Fermi level: 0.4106 states/eV/atom
! * E_form (uncorrected): -77 kJ per mole of atoms
! * raw total energy: -14.9 eV for the cell shown
! * relative energy among the computed polymorphs: 382.6 meV/atom
&SYSTEM
  ibrav = 0, nat = 4, ntyp = 3
/
ATOMIC_SPECIES
Br 79.90 Br.upf
Tl 204.38 Tl.upf
La 138.91 La.upf
CELL_PARAMETERS angstrom
-1.819 -1.920 3.004
-0.933 -3.874 -0.375
8.195 -4.502 4.753
ATOMIC_POSITIONS crystal
Br 0.907 0.907 0.278
Br 0.093 0.093 0.722
Tl 0.500 0.500 0.500
La 0.000 0.000 0.000

***

Record 12
! PBEsol LaTlBr, relaxed; values from VASP
! * spin magnetization: 0.00 μB/f.u.
! * density of states at the Fermi level: 1.3011 states/eV/atom
! * E_form (uncorrected): -45 kJ per mole of atoms
! * raw total energy: -11.2 eV for the cell shown
! * relative energy among the computed polymorphs: 299.2 meV/atom
&SYSTEM
  ibrav = 0, nat = 3, ntyp = 3
/
ATOMIC_SPECIES
La 138.91 La.upf
Br 79.90 Br.upf
Tl 204.38 Tl.upf
CELL_PARAMETERS angstrom
-3.292 0.449 3.968
-1.857 -4.241 2.315
1.538 -1.218 4.789
ATOMIC_POSITIONS crystal
La 0.250 0.250 0.250
Br 0.500 0.500 0.500
Tl 0.000 0.000 0.000